VASP calculation (PBE with a Hubbard U) on an optimized crystal structure of CaWO2.

Geometry as extended XYZ:
```
4
Lattice="0.000 2.850 2.850 2.850 0.000 2.850 2.850 2.850 0.000" Properties=species:S:1:pos:R:3 pbc="T T T"
Ca 0.000 0.000 0.000
W 2.850 2.850 2.850
O 1.425 1.425 1.425
O 4.275 4.275 4.275
```

- crystal system = cubic
- N(E_F) (states/eV/f.u.) = 0.00
- space group = Fm-3m (225)
- energy relative to the lowest polymorph listed for this composition (eV per atom) = 0.7423
- electronic total energy (eV/f.u.) = -23.87